# 1
## NpPa2Os (PBE)

Data for NpPa2Os after structural relaxation.

Properties
* DFT formation energy: 20 meV/atom
* total energy: -172.33 eV for the cell shown
* V: 334.97 Å³/cell
* energy relative to the lowest polymorph listed for this composition: 82 meV/atom
* magnetic moment: 19.80 μB per cell

abc: 6.945 6.945 6.945
angles: 90.00 90.00 90.00
Space group Fm-3m (No. 225)
Unique sites:
Np: 0.000 0.000 0.000 (multiplicity 4)
Pa: 0.250 0.250 0.250 (multiplicity 8)
Os: 0.000 0.000 0.500 (multiplicity 4)

---

# 2
## Y2Zr (PBE)

Data for Y2Zr after structural relaxation.

Properties
* DFT formation energy: 804 meV/atom
* total energy: -76.26 eV for the cell shown
* V: 389.91 Å³/cell
* energy relative to the lowest polymorph listed for this composition: 719 meV/atom
* magnetic moment: 7.22 μB per cell

abc: 7.306 7.306 7.306
angles: 90.00 90.00 90.00
Space group Pa-3 (No. 205)
Unique sites:
Y: 0.157 0.157 0.157 (multiplicity 8)
Zr: 0.000 0.000 0.500 (multiplicity 4)

---

# 3
## TiOs (PBE)

Data for TiOs after structural relaxation.

Properties
* DFT formation energy: 1382 meV/atom
* total energy: -98.16 eV for the cell shown
* V: 329.40 Å³/cell
* magnetic moment: 0.00 μB per cell

abc: 6.906 6.906 6.906
angles: 90.00 90.00 90.00
Space group Pm-3n (No. 223)
Unique sites:
Ti: 0.000 0.250 0.500 (multiplicity 6)
Os: 0.000 0.500 0.250 (multiplicity 6)

---

# 4
## Dy6Al2CO (PBE)

Data for Dy6Al2CO after structural relaxation.

Properties
* total energy: -234.21 eV for the cell shown
* V: 885.92 Å³/cell
* magnetic moment: 0.00 μB per cell
* formation energy without anion corrections: -0.93 eV/atom

abc: 9.604 9.604 9.604
angles: 90.00 90.00 90.00
Space group Fm-3m (No. 225)
Unique sites:
Dy: 0.000 0.000 0.249 (multiplicity 24)
Al: 0.250 0.250 0.250 (multiplicity 8)
C: 0.000 0.000 0.000 (multiplicity 4)
O: 0.000 0.000 0.500 (multiplicity 4)

---

# 5
## DyHg6Au (PBE)

Data for DyHg6Au after structural relaxation.

Properties
* DFT formation energy: 83 meV/atom
* total energy: -27.08 eV for the cell shown
* V: 1001.49 Å³/cell
* magnetic moment: 0.00 μB per cell

abc: 6.5403 6.5403 27.0347
angles: 90.00 90.00 120.00
Space group R-3m (No. 166, hexagonal axes)
Unique sites:
Dy: 0.0000 0.0000 0.0000 (multiplicity 3)
Hg: 0.0068 0.5034 0.2473 (multiplicity 18)
Au: 0.0000 0.0000 0.5000 (multiplicity 3)

---

# 6
## Ca2InP2 (PBE)

Data for Ca2InP2 after structural relaxation.

Properties
* DFT formation energy: -537 meV/atom
* total energy: -40.50 eV for the cell shown
* V: 256.67 Å³/cell
* energy relative to the lowest polymorph listed for this composition: 188 meV/atom
* magnetic moment: 0.00 μB per cell

abc: 4.950 4.950 10.477
angles: 90.00 90.00 90.00
Space group I4/mmm (No. 139)
Unique sites:
Ca: 0.000 0.500 0.250 (multiplicity 4)
In: 0.000 0.000 0.000 (multiplicity 2)
P: 0.000 0.000 0.393 (multiplicity 4)